First-principles (PBE) data for an optimized crystal structure of Mg2ZrPbC, as listed in the Alexandria database.

POSCAR file:
```
Mg2ZrPbC
1.0
5.7387 0.0000 0.0000
0.0000 5.7387 0.0000
0.0000 0.0000 5.6441
Mg Zr Pb C
2 1 1 1
direct
0.0000 0.5000 0.0000 Mg
0.5000 0.0000 0.0000 Mg
0.0000 0.0000 0.0000 Zr
0.0000 0.0000 0.5000 Pb
0.5000 0.5000 0.5000 C
```

Summary:
The calculation puts the energy at -2.7926 eV/atom. As for the space group: P4/mmm.